# 1
NpZnSnO: optimized geometry, PBE-GGA.

Properties
As for the formation energy (no corrections): -1186 meV/atom. For the density of states at the Fermi level, the calculation gives 16.45 states/eV/cell.

abc: 3.992 3.992 9.923
angles: 90.00 90.00 90.00
Last column: magnetic moment on the atom in μB.
Element x y z (fractional)
Np1 0.000 0.500 0.883  3.79
Np2 0.500 0.000 0.117  3.79
Zn1 0.000 0.000 0.500  -0.01
Zn2 0.500 0.500 0.500  -0.01
Sn1 0.500 0.000 0.694  -0.02
Sn2 0.000 0.500 0.306  -0.02
O1 0.500 0.500 0.000  -0.11
O2 0.000 0.000 0.000  -0.11

=====

# 2
NpZnSnO6: optimized geometry, PBE-GGA.

Properties
As for the formation energy (no corrections): -1906 meV/atom. For the density of states at the Fermi level, the calculation gives 1.38 states/eV/cell.

abc: 5.414 5.414 9.170
angles: 90.00 90.00 120.00
Last column: magnetic moment on the atom in μB.
Element x y z (fractional)
Np1 0.667 0.333 0.250  1.24
Np2 0.333 0.667 0.750  1.24
Zn1 0.000 0.000 0.000  -0.01
Zn2 0.000 0.000 0.500  -0.01
Sn1 0.333 0.667 0.250  0.00
Sn2 0.667 0.333 0.750  0.00
O1 0.661 0.658 0.130  -0.04
O2 0.997 0.339 0.130  -0.04
O3 0.339 0.997 0.630  -0.04
O4 0.003 0.661 0.870  -0.04
O5 0.342 0.339 0.370  -0.04
O6 0.997 0.658 0.370  -0.04
O7 0.658 0.997 0.870  -0.04
O8 0.661 0.003 0.370  -0.04
O9 0.003 0.342 0.630  -0.04
O10 0.342 0.003 0.130  -0.04
O11 0.658 0.661 0.630  -0.04
O12 0.339 0.342 0.870  -0.04

=====

Look up the formation energy (no corrections) of the first one.
-1186 meV/atom

=====

What is the formula in the first record?
NpZnSnO

=====

Which of these has the highest formation energy (no corrections)?
NpZnSnO